1.
4
Lattice="-4.187 -1.531 0.651 -1.674 -3.198 -2.697 -0.654 -4.168 1.583" Properties=species:S:1:pos:R:3 comment="SbMo2P | Alexandria | GGA-PBEsol | relaxed" formation_energy_uncorrected_mev_per_atom=417 magnetic_moment_mub_per_fu=0.00 crystal_system=cubic rho_g_cm3=8.8 energy_ev_per_atom=-8.054 polymorph_energy_mev_per_atom=514 dos_at_fermi_per_ev_fu=2.67 pbc="T T T"
Mo -4.887 -6.673 -0.347
Mo 0.000 0.000 0.000
P -3.258 -4.448 -0.232
Sb -1.629 -2.224 -0.116

***

2.
4
Lattice="3.124 0.000 0.000 0.000 4.174 0.000 0.000 0.000 5.789" Properties=species:S:1:pos:R:3 comment="MnIrBr2 | Alexandria | GGA-PBEsol | relaxed" formation_energy_uncorrected_mev_per_atom=680 magnetic_moment_mub_per_fu=4.83 crystal_system=orthorhombic rho_g_cm3=9.0 energy_ev_per_atom=-5.152 polymorph_energy_mev_per_atom=499 dos_at_fermi_per_ev_fu=2.63 pbc="T T T"
Ir 1.562 2.087 0.000
Br 1.562 0.000 2.895
Br 0.000 0.000 0.000
Mn 0.000 2.087 2.895

***

3.
5
Lattice="-0.930 -0.696 4.453 4.052 -2.119 0.515 1.972 4.025 1.041" Properties=species:S:1:pos:R:3 comment="NaTiCr3 | Alexandria | GGA-PBEsol | relaxed" magnetic_moment_mub_per_fu=10.72 crystal_system=cubic rho_g_cm3=3.9 energy_ev_per_atom=-5.920 dos_at_fermi_per_ev_fu=6.59 formation_energy_ev_per_atom=2.17 pbc="T T T"
Cr 0.986 2.013 0.521
Cr -0.465 -0.348 2.226
Cr 2.026 -1.059 0.258
Na 0.000 0.000 0.000
Ti 2.547 0.605 3.005

***

4.
5
Lattice="4.393 0.000 0.000 0.000 4.393 0.000 -2.196 -2.196 4.161" Properties=species:S:1:pos:R:3 comment="NaPd2F2 | Alexandria | GGA-PBEsol | relaxed" formation_energy_uncorrected_mev_per_atom=-465 magnetic_moment_mub_per_fu=1.34 crystal_system=tetragonal rho_g_cm3=5.7 energy_ev_per_atom=-3.900 dos_at_fermi_per_ev_fu=4.59 pbc="T T T"
Na 0.000 0.000 0.000
Pd 0.000 0.000 2.808
Pd 2.196 2.196 1.353
F 0.000 2.196 2.081
F 2.196 0.000 2.081

***

5.
4
Lattice="-2.343 -1.431 -1.956 2.103 0.150 -2.630 1.905 -4.827 1.248" Properties=species:S:1:pos:R:3 comment="ScSiIr2 | Alexandria | GGA-PBEsol | relaxed" formation_energy_uncorrected_mev_per_atom=-545 magnetic_moment_mub_per_fu=0.00 crystal_system=tetragonal rho_g_cm3=12.5 energy_ev_per_atom=-8.545 dos_at_fermi_per_ev_fu=1.92 pbc="T T T"
Sc 0.915 -2.317 0.599
Si 1.390 -4.464 -1.304
Ir 0.406 -1.971 -1.948
Ir 1.814 -4.596 1.189

***

6.
5
Lattice="4.547 0.000 0.000 0.000 4.547 0.000 0.000 0.000 4.547" Properties=species:S:1:pos:R:3 comment="Mg3ZrB | Alexandria | GGA-PBEsol | relaxed" magnetic_moment_mub_per_fu=0.00 crystal_system=cubic rho_g_cm3=3.1 energy_ev_per_atom=-3.756 dos_at_fermi_per_ev_fu=4.68 formation_energy_ev_per_atom=0.50 pbc="T T T"
Mg 0.000 0.000 2.273
Mg 0.000 2.273 0.000
Mg 2.273 0.000 0.000
B 0.000 0.000 0.000
Zr 2.273 2.273 2.273

***

7.
28
Lattice="6.486 0.000 0.000 -3.243 5.630 0.048 0.000 -0.588 9.547" Properties=species:S:1:pos:R:3 comment="LiCuP3O9 | Alexandria | GGA-PBEsol | relaxed" formation_energy_uncorrected_mev_per_atom=-1920 magnetic_moment_mub_per_fu=1.04 crystal_system=monoclinic rho_g_cm3=2.9 energy_ev_per_atom=-6.986 polymorph_energy_mev_per_atom=2 pbc="T T T"
O 2.239 -0.489 8.411
O 4.247 -0.195 3.638
O -0.843 1.914 8.474
O 4.984 -0.279 7.596
O 1.420 1.997 1.215
O 0.843 2.208 3.700
O 0.681 0.676 6.807
O 2.803 4.131 2.447
O -0.854 4.811 5.909
O -1.565 3.718 1.180
O 1.502 0.015 2.823
O -1.720 3.285 3.720
O 5.805 0.970 2.033
O 1.565 3.423 5.953
O 0.854 5.105 1.136
O 1.720 2.990 8.494
O 5.066 1.703 5.988
O 3.683 3.836 7.220
P -1.688 4.993 7.139
P -2.089 4.130 2.517
P 1.688 5.287 2.366
P 0.804 1.413 2.433
P -0.804 1.119 7.207
P 2.089 3.836 7.290
Li 4.023 1.524 4.488
Li 2.463 1.230 9.262
Cu -0.049 3.470 4.827
Cu 0.049 3.764 0.053

***

8.
4
Lattice="-0.960 4.188 0.624 -1.856 -1.036 4.098 5.754 -0.899 -0.221" Properties=species:S:1:pos:R:3 comment="CaCuPb2 | Alexandria | GGA-PBEsol | relaxed" magnetic_moment_mub_per_fu=0.00 crystal_system=orthorhombic rho_g_cm3=8.8 energy_ev_per_atom=-3.698 dos_at_fermi_per_ev_fu=1.59 formation_energy_ev_per_atom=-0.08 pbc="T T T"
Cu 2.408 0.375 1.186
Pb 0.702 1.905 3.400
Pb 3.574 2.725 2.308
Ca -0.359 2.113 0.371

***

9.
3
Lattice="3.268 0.000 0.000 0.000 3.847 0.000 -1.634 -1.924 4.677" Properties=species:S:1:pos:R:3 comment="YCdIr | Alexandria | GGA-PBEsol | relaxed" magnetic_moment_mub_per_fu=0.00 crystal_system=orthorhombic rho_g_cm3=11.1 energy_ev_per_atom=-6.328 dos_at_fermi_per_ev_fu=1.24 formation_energy_ev_per_atom=-0.38 pbc="T T T"
Cd 0.000 0.000 0.098
Y 0.000 0.000 2.995
Ir 1.634 1.924 1.585

***

10.
28
Lattice="6.220 0.000 0.000 0.000 8.356 0.000 0.000 0.000 11.102" Properties=species:S:1:pos:R:3 comment="Cs2CrO4 | Alexandria | GGA-PBEsol | relaxed" formation_energy_uncorrected_mev_per_atom=-2034 magnetic_moment_mub_per_fu=0.02 crystal_system=orthorhombic rho_g_cm3=4.4 energy_ev_per_atom=-6.766 dos_at_fermi_per_ev_fu=0.00 pbc="T T T"
Cr 1.555 6.398 0.883
Cr 1.555 2.220 4.668
Cr 4.665 6.136 6.434
Cr 4.665 1.958 10.219
Cs 1.555 0.122 8.943
Cs 4.665 8.234 2.160
Cs 4.665 1.405 6.529
Cs 1.555 2.773 0.978
Cs 1.555 4.300 7.711
Cs 1.555 6.951 4.573
Cs 4.665 5.583 10.125
Cs 4.665 4.056 3.392
O 3.312 6.719 7.178
O 6.018 2.541 9.476
O 2.908 5.816 1.626
O 3.312 2.541 9.476
O 4.665 0.312 10.150
O 0.202 1.638 3.925
O 2.908 1.638 3.925
O 4.665 2.449 0.696
O 4.665 4.490 6.504
O 4.665 6.627 4.856
O 1.555 3.866 4.599
O 0.202 5.816 1.626
O 1.555 5.907 10.407
O 1.555 8.044 0.953
O 1.555 1.729 6.247
O 6.018 6.719 7.178

***

11.
4
Lattice="3.421 0.000 0.000 -1.710 2.962 0.000 0.000 0.000 10.394" Properties=species:S:1:pos:R:3 comment="AgPb3 | Alexandria | GGA-PBEsol | relaxed" magnetic_moment_mub_per_fu=0.00 crystal_system=hexagonal rho_g_cm3=11.5 energy_ev_per_atom=-3.742 dos_at_fermi_per_ev_fu=1.36 formation_energy_ev_per_atom=0.08 pbc="T T T"
Pb 0.000 1.975 8.106
Pb 0.000 1.975 2.288
Pb 0.000 0.000 5.197
Ag 0.000 0.000 0.000

***

12.
8
Lattice="5.098 0.000 0.000 0.000 5.098 0.000 -2.549 -2.549 5.142" Properties=species:S:1:pos:R:3 comment="LaMgO2 | Alexandria | GGA-PBEsol | relaxed" formation_energy_uncorrected_mev_per_atom=-2435 magnetic_moment_mub_per_fu=0.00 crystal_system=tetragonal rho_g_cm3=4.9 energy_ev_per_atom=-6.826 dos_at_fermi_per_ev_fu=1.92 pbc="T T T"
O 3.577 1.274 1.286
O 1.521 3.823 1.286
O 1.274 1.028 3.857
O -1.274 -1.028 3.857
Mg 2.549 2.549 0.000
Mg 2.549 0.000 2.571
La 0.000 0.000 0.000
La 0.000 2.549 2.571

***

13.
8
Lattice="4.538 -0.044 0.000 -1.823 4.156 0.000 0.000 0.000 7.614" Properties=species:S:1:pos:R:3 comment="YAl2Ni | Alexandria | GGA-PBEsol | relaxed" magnetic_moment_mub_per_fu=0.00 crystal_system=orthorhombic rho_g_cm3=4.7 energy_ev_per_atom=-5.685 dos_at_fermi_per_ev_fu=2.11 formation_energy_ev_per_atom=-0.39 pbc="T T T"
Al -0.712 3.422 4.175
Al -0.712 3.422 7.247
Al 3.427 0.689 3.439
Al 3.427 0.689 0.368
Ni -1.297 3.808 1.904
Ni 4.012 0.303 5.711
Y 1.146 2.196 1.904
Y 1.569 1.916 5.711

***

14.
5
Lattice="3.885 0.000 0.000 0.000 3.885 0.000 0.000 0.000 6.115" Properties=species:S:1:pos:R:3 comment="LiYGeH2 | Alexandria | GGA-PBEsol | relaxed" magnetic_moment_mub_per_fu=0.00 crystal_system=tetragonal rho_g_cm3=3.1 energy_ev_per_atom=-3.893 dos_at_fermi_per_ev_fu=1.86 pbc="T T T"
H 1.942 0.000 0.000
H 0.000 1.942 0.000
Li 0.000 0.000 3.057
Ge 1.942 1.942 3.057
Y 0.000 0.000 0.000